# 1
# PrCu4Au8 | Alexandria | PBE | relaxed
data_PrCu4Au8
_chemical_formula_sum 'Pr1 Cu4 Au8'
_symmetry_space_group_name_H-M 'P 1'
_symmetry_Int_Tables_number 1
_symmetry_space_group_name_Hall 'P 1'
_cell_length_a 5.327
_cell_length_b 7.056
_cell_length_c 7.056
_cell_angle_alpha 81.81
_cell_angle_beta 67.82
_cell_angle_gamma 67.82
loop_
_atom_site_label
_atom_site_fract_x
_atom_site_fract_y
_atom_site_fract_z
Pr1 0.000 0.000 0.000
Cu1 0.000 0.000 0.500
Cu2 0.500 0.000 0.500
Cu3 0.000 0.500 0.000
Cu4 0.500 0.500 0.000
Au1 0.000 0.340 0.660
Au2 0.000 0.660 0.340
Au3 0.340 0.660 0.660
Au4 0.660 0.340 0.340
Au5 0.500 0.780 0.220
Au6 0.500 0.220 0.780
Au7 0.280 0.220 0.220
Au8 0.720 0.780 0.780
# Uncorrected energy (eV for the cell shown): -50.69



# 2
# SbRh2Se | Alexandria | PBE | relaxed
data_SbRh2Se
_chemical_formula_sum 'Sb1 Rh2 Se1'
_symmetry_space_group_name_H-M 'P 1'
_symmetry_Int_Tables_number 1
_symmetry_space_group_name_Hall 'P 1'
_cell_length_a 4.307
_cell_length_b 4.307
_cell_length_c 5.673
_cell_angle_alpha 76.93
_cell_angle_beta 76.93
_cell_angle_gamma 44.03
loop_
_atom_site_label
_atom_site_fract_x
_atom_site_fract_y
_atom_site_fract_z
Rh1 0.000 0.000 0.010
Rh2 0.500 0.500 0.490
Sb1 0.250 0.250 0.250
Se1 0.750 0.750 0.750
# Formation energy without anion corrections (eV per atom): -0.10



# 3
# MnBeOsAu2 | Alexandria | PBE | relaxed
data_MnBeOsAu2
_chemical_formula_sum 'Mn1 Be1 Os1 Au2'
_symmetry_space_group_name_H-M 'P 1'
_symmetry_Int_Tables_number 1
_symmetry_space_group_name_Hall 'P 1'
_cell_length_a 4.256
_cell_length_b 4.197
_cell_length_c 4.256
_cell_angle_alpha 90.00
_cell_angle_beta 90.00
_cell_angle_gamma 90.00
loop_
_atom_site_label
_atom_site_fract_x
_atom_site_fract_y
_atom_site_fract_z
Os1 0.500 0.500 0.500
Mn1 0.000 0.500 0.000
Au1 0.000 0.000 0.500
Au2 0.500 0.000 0.000
Be1 0.000 0.000 0.000
# Uncorrected energy (eV for the cell shown): -26.63